First-principles (PBE+U) data for a geometry-optimized VAuO2 structure, as listed in Alexandria.

```
VAuO2
1.0
5.8544 0.0000 0.0000
0.0000 5.8544 0.0000
0.0000 0.0000 8.2688
V Au O
4 4 8
Direct
0.0000 0.0000 0.0000
0.0000 0.5000 0.2500
0.5000 0.0000 0.7500
0.5000 0.5000 0.5000
0.0000 0.0000 0.5000
0.0000 0.5000 0.7500
0.5000 0.0000 0.2500
0.5000 0.5000 0.0000
0.0021 0.7500 0.1250
0.2500 0.0021 0.8750
0.2500 0.4979 0.3750
0.4979 0.7500 0.6250
0.5021 0.2500 0.6250
0.7500 0.5021 0.3750
0.7500 0.9979 0.8750
0.9979 0.2500 0.1250
```

Results
Symmetry: I-42d
Fermi-level density of states in states/eV/atom: 0.4348
Total energy in eV per atom: -6.0378